1.
A plane-wave DFT calculation with PBE-GGA was carried out for an optimized crystal structure of CdAuSe2.

Results
- space-group type = No. 8
- total moment (μB per formula unit) = 0.00
- formation energy without anion corrections (eV/atom) = -0.088

Cell lengths 4.385, 4.385, 6.654 Å; angles 109.64, 109.64, 53.75 degrees
Atoms (fractional coordinates):
Cd 0.000 0.000 0.000
Au 0.195 0.195 0.708
Se 0.457 0.457 0.574
Se 0.753 0.753 0.187


2.
A plane-wave DFT calculation with PBE-GGA was carried out for an optimized crystal structure of CdAuSe2.

Results
- space-group type = No. 12
- total moment (μB per formula unit) = 0.00
- formation energy without anion corrections (eV/atom) = 0.210

Cell lengths 7.167, 7.167, 2.754 Å; angles 93.13, 93.13, 135.91 degrees
Atoms (fractional coordinates):
Cd 0.000 0.000 0.000
Au 0.500 0.500 0.000
Se 0.000 0.500 0.500
Se 0.500 0.000 0.500


3.
A plane-wave DFT calculation with PBE-GGA was carried out for an optimized crystal structure of Cd4AuSe.

Results
- space-group type = No. 216
- total moment (μB per formula unit) = 0.00
- formation energy without anion corrections (eV/atom) = 0.178

Cell lengths 5.766, 5.766, 5.766 Å; angles 60.00, 60.00, 60.00 degrees
Atoms (fractional coordinates):
Cd 0.125 0.125 0.125
Cd 0.125 0.125 0.625
Cd 0.125 0.625 0.125
Cd 0.625 0.125 0.125
Au 0.500 0.500 0.500
Se 0.750 0.750 0.750


4.
A plane-wave DFT calculation with PBE-GGA was carried out for an optimized crystal structure of Cd2Au2Se.

Results
- space-group type = No. 127
- total moment (μB per formula unit) = 0.00
- formation energy without anion corrections (eV/atom) = -0.029

Cell lengths 8.583, 8.583, 2.916 Å; angles 90.00, 90.00, 90.00 degrees
Atoms (fractional coordinates):
Cd 0.183 0.317 0.000
Cd 0.317 0.817 0.000
Cd 0.683 0.183 0.000
Cd 0.817 0.683 0.000
Au 0.116 0.616 0.500
Au 0.384 0.116 0.500
Au 0.616 0.884 0.500
Au 0.884 0.384 0.500
Se 0.000 0.000 0.000
Se 0.500 0.500 0.000


5.
A plane-wave DFT calculation with PBE-GGA was carried out for an optimized crystal structure of CdAuSe2.

Results
- space-group type = No. 119
- total moment (μB per formula unit) = 0.00
- formation energy without anion corrections (eV/atom) = 0.043

Cell lengths 8.244, 8.244, 8.244 Å; angles 153.60, 153.60, 37.69 degrees
Atoms (fractional coordinates):
Cd 0.000 0.000 0.000
Au 0.250 0.750 0.500
Se 0.500 0.500 0.000
Se 0.750 0.250 0.500


6.
A plane-wave DFT calculation with PBE-GGA was carried out for an optimized crystal structure of Cd2SnAuSe4.

Results
- space-group type = No. 42
- total moment (μB per formula unit) = 0.00
- formation energy without anion corrections (eV/atom) = -0.355

Cell lengths 7.603, 7.601, 6.245 Å; angles 65.77, 65.73, 48.50 degrees
Atoms (fractional coordinates):
Cd 0.000 0.000 0.500
Cd 0.500 0.500 0.000
Sn 0.250 0.250 0.750
Au 0.750 0.750 0.250
Se 0.116 0.632 0.368
Se 0.383 0.868 0.617
Se 0.632 0.116 0.884
Se 0.868 0.383 0.132


| no. | calculated volume (Å³ per atom) |
| --- | --- |
| 1 | 23.89 |
| 2 | 24.35 |
| 3 | 22.59 |
| 4 | 21.48 |
| 5 | 27.66 |
| 6 | 30.17 |